[1]
# CrMo2Br PBE-GGA optimized geometry
# - formation energy without anion corrections (kcal/mol of atoms) = 12.351
# - crystal system = monoclinic
data_CrMo2Br
_space_group_name_H-M_alt 'P 1 m 1'
_space_group_IT_number 6
_space_group_name_Hall 'P -2y'
_cell_length_a 3.555
_cell_length_b 3.245
_cell_length_c 6.723
_cell_angle_alpha 90.00
_cell_angle_beta 102.25
_cell_angle_gamma 90.00
loop_
_atom_site_label
_atom_site_fract_x
_atom_site_fract_y
_atom_site_fract_z
Cr1 0.000 0.000 0.000
Mo1 0.448 0.500 0.856
Mo2 0.868 0.000 0.663
Br1 0.734 0.500 0.280

[2]
# Hf2MoBr PBE-GGA optimized geometry
# - formation energy without anion corrections (kcal/mol of atoms) = 9.168
# - crystal system = cubic
data_Hf2MoBr
_space_group_name_H-M_alt 'F m -3 m'
_space_group_IT_number 225
_space_group_name_Hall '-F 4 2 3'
_cell_length_a 6.804
_cell_length_b 6.804
_cell_length_c 6.804
_cell_angle_alpha 90.00
_cell_angle_beta 90.00
_cell_angle_gamma 90.00
loop_
_atom_site_label
_atom_site_fract_x
_atom_site_fract_y
_atom_site_fract_z
Hf1 0.250 0.250 0.250
Mo1 0.000 0.000 0.000
Br1 0.000 0.000 0.500

[3]
# HfSiNi3 PBE-GGA optimized geometry
# - formation energy without anion corrections (kcal/mol of atoms) = 29.465
# - crystal system = cubic
data_HfSiNi3
_space_group_name_H-M_alt 'P m -3 m'
_space_group_IT_number 221
_space_group_name_Hall '-P 4 2 3'
_cell_length_a 4.568
_cell_length_b 4.568
_cell_length_c 4.568
_cell_angle_alpha 90.00
_cell_angle_beta 90.00
_cell_angle_gamma 90.00
loop_
_atom_site_label
_atom_site_fract_x
_atom_site_fract_y
_atom_site_fract_z
Hf1 0.000 0.000 0.000
Si1 0.500 0.500 0.500
Ni1 0.000 0.000 0.500

[4]
# Ce2CdCl8 PBE-GGA optimized geometry
# - formation energy without anion corrections (kcal/mol of atoms) = -43.740
# - crystal system = monoclinic
data_Ce2CdCl8
_space_group_name_H-M_alt 'C 1 2/m 1'
_space_group_IT_number 12
_space_group_name_Hall '-C 2y'
_cell_length_a 20.978
_cell_length_b 4.007
_cell_length_c 7.831
_cell_angle_alpha 90.00
_cell_angle_beta 97.68
_cell_angle_gamma 90.00
loop_
_atom_site_label
_atom_site_fract_x
_atom_site_fract_y
_atom_site_fract_z
Ce1 0.157 0.000 0.330
Cd1 0.000 0.500 0.000
Cl1 0.014 0.000 0.226
Cl2 0.110 0.500 0.518
Cl3 0.130 0.500 0.055
Cl4 0.242 0.000 0.673

[5]
# La2BeV PBE-GGA optimized geometry
# - formation energy from the elements (eV/atom) = 0.722
# - crystal system = tetragonal
data_La2BeV
_space_group_name_H-M_alt 'I -4 2 d'
_space_group_IT_number 122
_space_group_name_Hall 'I -4 2bw'
_cell_length_a 8.090
_cell_length_b 8.090
_cell_length_c 6.017
_cell_angle_alpha 90.00
_cell_angle_beta 90.00
_cell_angle_gamma 90.00
loop_
_atom_site_label
_atom_site_fract_x
_atom_site_fract_y
_atom_site_fract_z
La1 0.243 0.250 0.125
Be1 0.000 0.000 0.000
V1 0.000 0.000 0.500

[6]
# NaCa2Cd PBE-GGA optimized geometry
# - formation energy from the elements (eV/atom) = -0.110
# - crystal system = tetragonal
data_NaCa2Cd
_space_group_name_H-M_alt 'P 4/m m m'
_space_group_IT_number 123
_space_group_name_Hall '-P 4 2'
_cell_length_a 5.439
_cell_length_b 5.439
_cell_length_c 4.360
_cell_angle_alpha 90.00
_cell_angle_beta 90.00
_cell_angle_gamma 90.00
loop_
_atom_site_label
_atom_site_fract_x
_atom_site_fract_y
_atom_site_fract_z
Na1 0.000 0.000 0.000
Ca1 0.000 0.500 0.500
Cd1 0.500 0.500 0.000

For each record above, in turn, the calculated total magnetization values are 0.0; 0.0; 0.0; 4.0; 9.0; 0.0 Bohr magnetons per cell.